Entry 1:
Entry from Alexandria via LeMat-Bulk: an optimized crystal structure of LaSi3Ir (PBE-GGA).

POSCAR file:
```
LaSi3Ir
1.0
-2.687 5.047 -1.148
-4.965 -2.714 -0.309
-0.847 0.881 5.855
La Ir Si
2 2 6
direct
0.932 0.029 0.201
0.432 0.324 0.701
0.656 0.559 0.201
0.156 0.794 0.701
0.933 0.506 0.489
0.433 0.847 0.412
0.433 0.847 0.989
0.425 0.217 0.201
0.925 0.136 0.701
0.933 0.506 0.912
```

Formation energy from raw total energies in eV/atom: -0.691
Excess energy over the best structure of this formula in the dataset in meV per atom: 168
E_tot in eV/cell: -67.02
Magnetization in μB/atom: 0.000


Entry 2:
Entry from Alexandria via LeMat-Bulk: an optimized crystal structure of BPdPbS2 (PBE-GGA).

POSCAR file:
```
BPdPbS2
1.0
-4.764 0.583 -2.146
1.167 -2.703 -3.325
-1.743 -4.130 2.746
S B Pb Pd
2 1 1 1
direct
0.000 0.000 0.500
0.500 0.000 0.000
0.000 0.500 0.000
0.000 0.000 0.000
0.500 0.500 0.500
```

Formation energy from raw total energies in eV/atom: 1.454
E_tot in eV/cell: -16.56
Magnetization in μB/atom: 0.198